Entry from Alexandria: a relaxed Ga2SiF6 crystal (PBE).

Uncorrected formation energy ... -22.347 eV per formula unit
Total magnetic moment ... 0.000 μB/atom
Space group ... P2_1/c (14)
V ... 301 Å³/cell

Structure (POSCAR):
```
Ga2SiF6
1.0
7.676 0.000 0.000
0.000 5.457 0.521
0.000 3.737 7.548
Ga F Si
4 12 2
direct
0.096 0.233 0.202
0.904 0.767 0.798
0.596 0.767 0.298
0.404 0.233 0.702
0.113 0.247 0.477
0.092 0.363 0.716
0.828 0.264 0.599
0.908 0.637 0.284
0.328 0.736 0.901
0.613 0.753 0.023
0.172 0.736 0.401
0.387 0.247 0.977
0.887 0.753 0.523
0.408 0.363 0.216
0.592 0.637 0.784
0.672 0.264 0.099
0.000 0.500 0.500
0.500 0.500 0.000
```

Entry from Alexandria: a relaxed Ca2ZnI crystal (PBE).

Uncorrected formation energy ... -2.281 eV per formula unit
Total magnetic moment ... 0.000 μB/atom
Space group ... P4/mmm (123)
V ... 120 Å³/cell
Excess energy over the best structure of this formula in the dataset ... 50 meV per atom

Structure (POSCAR):
```
Ca2ZnI
1.0
-0.209 3.610 -1.165
-3.671 -0.487 -0.850
-2.097 2.364 7.701
Zn Ca I
1 2 1
direct
0.500 0.500 0.000
0.000 0.000 0.787
0.000 0.000 0.213
0.500 0.500 0.500
```

Entry from Alexandria: a relaxed Pm2Er2Sc3 crystal (PBE).

Total magnetic moment ... 0.000 μB/atom
Space group ... C2/m (12)
V ... 407 Å³/cell
Formation enthalpy at 0 K ... 108.7 meV per atom
Excess energy over the best structure of this formula in the dataset ... 0 meV per atom

Structure (POSCAR):
```
Pm2Er2Sc3
1.0
5.445 0.000 0.000
0.000 12.778 0.345
0.000 2.268 5.908
Sc Pm Er
6 4 4
direct
0.001 0.574 0.737
0.999 0.426 0.263
0.501 0.926 0.763
0.499 0.074 0.237
0.000 0.000 0.000
0.500 0.500 0.500
0.000 0.682 0.190
0.000 0.318 0.810
0.500 0.818 0.310
0.500 0.182 0.690
0.501 0.644 0.888
0.999 0.144 0.388
0.499 0.356 0.112
0.001 0.856 0.612
```

> What is the formula in the third record?

Pm2Er2Sc3